# 1
Compound: HoZr5Sc
Source: Alexandria via LeMat-Bulk
Functional: PBE
Structure: optimized geometry

```
HoZr5Sc
1.0
-3.051 -4.059 3.522
-1.408 -2.703 -7.164
7.353 -2.460 0.708
Ho Zr Sc
2 10 2
Direct
0.750 0.343 0.157 Ho
0.250 0.657 0.843 Ho
0.536 0.898 0.653 Zr
0.633 0.783 0.225 Zr
0.036 0.153 0.398 Zr
0.750 0.605 0.895 Zr
0.867 0.275 0.717 Zr
0.133 0.725 0.283 Zr
0.250 0.395 0.105 Zr
0.964 0.847 0.602 Zr
0.367 0.217 0.775 Zr
0.464 0.102 0.347 Zr
0.000 0.000 0.000 Sc
0.500 0.500 0.500 Sc
```

Summary:
**Space group**: C2/c (15)
**Size of the total moment**: 0.00 μB/cell
**Formation energy from the elements**: 0.209 eV per atom

=====

# 2
Compound: PIrNF2
Source: Alexandria via LeMat-Bulk
Functional: PBE
Structure: optimized geometry

```
PIrNF2
1.0
4.367 0.000 0.000
0.000 4.367 0.000
0.000 0.000 3.725
P N Ir F
1 1 1 2
Direct
0.500 0.500 0.500 P
0.000 0.000 0.500 N
0.000 0.000 0.000 Ir
0.000 0.500 0.000 F
0.500 0.000 0.000 F
```

Summary:
**Space group**: P4/mmm (123)
**ΔE_f (raw)**: 0.373 eV/atom
**Size of the total moment**: 1.64 μB/cell

=====

# 3
Compound: BaScAs2S
Source: Alexandria via LeMat-Bulk
Functional: PBE
Structure: optimized geometry

```
BaScAs2S
1.0
5.431 0.000 0.000
0.000 4.653 0.000
0.000 0.000 5.431
Sc As S Ba
1 2 1 1
Direct
0.000 0.500 0.000 Sc
0.000 0.000 0.500 As
0.500 0.000 0.000 As
0.000 0.000 0.000 S
0.500 0.500 0.500 Ba
```

Summary:
**Space group**: P4/mmm (123)
**ΔE_f (raw)**: -0.433 eV/atom
**Size of the total moment**: 0.00 μB/cell

=====

# 4
Compound: ReAg2Cl
Source: Alexandria via LeMat-Bulk
Functional: PBE
Structure: optimized geometry

```
ReAg2Cl
1.0
-2.252 2.719 5.991
-0.222 1.022 6.875
2.423 3.360 0.881
Re Ag Cl
1 2 1
Direct
0.250 0.250 0.250 Re
0.944 0.944 0.056 Ag
0.556 0.556 0.444 Ag
0.750 0.750 0.750 Cl
```

Summary:
**Space group**: Immm (71)
**ΔE_f (raw)**: 0.794 eV/atom
**Size of the total moment**: 0.69 μB/cell

=====

# 5
Compound: Hf2PN
Source: Alexandria via LeMat-Bulk
Functional: PBE
Structure: optimized geometry

```
Hf2PN
1.0
5.363 0.000 0.000
0.000 5.363 0.000
2.682 2.682 5.218
P Hf N
2 4 2
Direct
0.000 0.000 0.000 P
0.750 0.250 0.500 P
0.562 0.125 0.250 Hf
0.188 0.625 0.250 Hf
0.375 0.438 0.750 Hf
0.875 0.812 0.750 Hf
0.500 0.500 0.000 N
0.250 0.750 0.500 N
```

Summary:
**Space group**: I-42d (122)
**ΔE_f (raw)**: -1.073 eV/atom
**Size of the total moment**: 0.00 μB/cell

=====

# 6
Compound: Cs2Tb2ZrSe6
Source: Alexandria via LeMat-Bulk
Functional: PBE
Structure: optimized geometry

```
Cs2Tb2ZrSe6
1.0
7.115 -0.007 0.049
-3.523 6.181 0.049
-1.294 -2.224 8.544
Cs Tb Zr Se
2 2 1 6
Direct
0.830 0.170 0.000 Cs
0.170 0.830 0.000 Cs
0.333 0.667 0.500 Tb
0.667 0.333 0.500 Tb
0.000 0.000 0.500 Zr
0.745 0.745 0.681 Se
0.064 0.380 0.682 Se
0.255 0.255 0.319 Se
0.380 0.064 0.682 Se
0.936 0.620 0.318 Se
0.620 0.936 0.318 Se
```

Summary:
**Space group**: C2/m (12)
**ΔE_f (raw)**: -1.649 eV/atom
**Size of the total moment**: 0.00 μB/cell

=====

# 7
Compound: La2CdHIr
Source: Alexandria via LeMat-Bulk
Functional: PBE
Structure: optimized geometry

```
La2CdHIr
1.0
5.391 0.000 0.000
0.000 5.391 0.000
0.000 0.000 3.729
Cd Ir H La
1 1 1 2
Direct
0.500 0.500 0.500 Cd
0.000 0.000 0.500 Ir
0.000 0.000 0.000 H
0.000 0.500 0.000 La
0.500 0.000 0.000 La
```

Summary:
**Space group**: P4/mmm (123)
**Calculated total energy**: -25.1 eV per cell
**Size of the total moment**: 0.00 μB/cell

=====

# 8
Compound: Er3MoC3
Source: Alexandria via LeMat-Bulk
Functional: PBE
Structure: optimized geometry

```
Er3MoC3
1.0
-0.285 -4.149 2.926
-1.839 -3.699 -5.425
6.769 -0.727 -0.372
Er Mo C
6 2 6
Direct
0.250 0.602 0.836 Er
0.250 0.164 0.398 Er
0.250 0.110 0.890 Er
0.750 0.398 0.164 Er
0.750 0.836 0.602 Er
0.750 0.890 0.110 Er
0.750 0.311 0.689 Mo
0.250 0.689 0.311 Mo
0.750 0.590 0.831 C
0.750 0.169 0.410 C
0.750 0.123 0.877 C
0.250 0.410 0.169 C
0.250 0.831 0.590 C
0.250 0.877 0.123 C
```

Summary:
**Space group**: Cmcm (63)
**Size of the total moment**: 0.00 μB/cell
**Formation energy from the elements**: -0.352 eV per atom

=====

# 9
Compound: Dy2PaSn
Source: Alexandria via LeMat-Bulk
Functional: PBE
Structure: optimized geometry

```
Dy2PaSn
1.0
-3.354 -0.708 3.002
-3.171 -0.358 -3.627
0.799 -4.759 -0.230
Pa Sn Dy
1 1 2
Direct
0.500 0.000 0.000 Pa
0.500 0.500 0.500 Sn
0.000 0.000 0.500 Dy
0.000 0.500 0.000 Dy
```

Summary:
**Space group**: P4/mmm (123)
**Size of the total moment**: 0.00 μB/cell
**Formation energy from the elements**: -0.209 eV per atom

=====

# 10
Compound: LiLuBeIn
Source: Alexandria via LeMat-Bulk
Functional: PBE
Structure: optimized geometry

```
LiLuBeIn
1.0
4.614 0.000 0.000
2.307 3.996 0.000
2.307 1.332 3.768
Be Lu Li In
1 1 1 1
Direct
0.750 0.750 0.750 Be
0.000 0.000 0.000 Lu
0.250 0.250 0.250 Li
0.500 0.500 0.500 In
```

Summary:
**Space group**: F-43m (216)
**Size of the total moment**: 0.00 μB/cell
**Formation energy from the elements**: -0.093 eV per atom

=====

# 11
Compound: InTc3C
Source: Alexandria via LeMat-Bulk
Functional: PBE
Structure: optimized geometry

```
InTc3C
1.0
4.146 0.000 0.000
0.000 4.146 0.000
0.000 0.000 4.146
C Tc In
1 3 1
Direct
0.000 0.000 0.000 C
0.000 0.500 0.000 Tc
0.000 0.000 0.500 Tc
0.500 0.000 0.000 Tc
0.500 0.500 0.500 In
```

Summary:
**Space group**: Pm-3m (221)
**Size of the total moment**: 0.79 μB/cell
**Formation energy from the elements**: 0.173 eV per atom

=====

# 12
Compound: NdTh2PtN4
Source: Alexandria via LeMat-Bulk
Functional: PBE
Structure: optimized geometry

```
NdTh2PtN4
1.0
-1.179 3.050 1.399
-4.149 -4.440 1.663
6.409 -2.183 10.162
Nd Th Pt N
2 4 2 8
Direct
0.113 0.226 0.750 Nd
0.887 0.774 0.250 Nd
0.371 0.742 0.557 Th
0.629 0.258 0.057 Th
0.629 0.258 0.443 Th
0.371 0.742 0.943 Th
0.850 0.699 0.750 Pt
0.150 0.301 0.250 Pt
0.275 0.550 0.115 N
0.725 0.450 0.615 N
0.725 0.450 0.885 N
0.275 0.550 0.385 N
0.000 0.000 0.500 N
0.000 0.000 0.000 N
0.459 0.919 0.750 N
0.541 0.081 0.250 N
```

Summary:
**Space group**: Cmcm (63)
**ΔE_f (raw)**: -1.065 eV/atom
**Size of the total moment**: 0.00 μB/cell

=====

# 13
Compound: SrTe2
Source: Alexandria via LeMat-Bulk
Functional: PBE
Structure: optimized geometry

```
SrTe2
1.0
2.497 5.585 0.166
-2.497 5.585 0.166
0.000 1.965 8.738
Sr Te
2 4
Direct
0.996 0.996 0.017 Sr
0.301 0.301 0.613 Sr
0.710 0.710 0.407 Te
0.556 0.556 0.733 Te
0.964 0.964 0.396 Te
0.307 0.307 0.001 Te
```

Summary:
**Space group**: Cm (8)
**ΔE_f (raw)**: -1.004 eV/atom
**Size of the total moment**: 0.00 μB/cell

=====

# 14
Compound: AcAg4Sn4
Source: Alexandria via LeMat-Bulk
Functional: PBE
Structure: optimized geometry

```
AcAg4Sn4
1.0
7.152 0.000 0.000
0.000 7.152 0.000
0.000 0.000 9.104
Ac Ag Sn
2 8 8
Direct
0.000 0.000 0.000 Ac
0.500 0.500 0.500 Ac
0.195 0.500 0.853 Ag
0.805 0.500 0.853 Ag
0.500 0.805 0.147 Ag
0.500 0.195 0.147 Ag
0.000 0.695 0.353 Ag
0.000 0.305 0.353 Ag
0.305 0.000 0.647 Ag
0.695 0.000 0.647 Ag
0.500 0.755 0.846 Sn
0.500 0.245 0.846 Sn
0.755 0.500 0.154 Sn
0.245 0.500 0.154 Sn
0.255 0.000 0.346 Sn
0.745 0.000 0.346 Sn
0.000 0.255 0.654 Sn
0.000 0.745 0.654 Sn
```

Summary:
**Space group**: P4_2/nmc (137)
**Size of the total moment**: 0.00 μB/cell
**Formation energy from the elements**: -0.112 eV per atom

=====

# 15
Compound: CaCeAs2Pd2
Source: Alexandria via LeMat-Bulk
Functional: PBE
Structure: optimized geometry

```
CaCeAs2Pd2
1.0
-0.547 4.232 -0.855
-0.308 -2.925 -3.207
-7.601 -0.705 1.373
Ca Ce As Pd
1 1 2 2
Direct
0.000 0.000 0.500 Ca
0.000 0.000 0.000 Ce
0.333 0.667 0.231 As
0.667 0.333 0.769 As
0.333 0.667 0.744 Pd
0.667 0.333 0.256 Pd
```

Summary:
**Space group**: P-3m1 (164)
**Size of the total moment**: 0.30 μB/cell
**Formation energy from the elements**: -1.089 eV per atom

=====

# 16
Compound: DyYPt10
Source: Alexandria via LeMat-Bulk
Functional: PBE
Structure: optimized geometry

```
DyYPt10
1.0
4.463 0.000 0.000
0.000 5.369 0.000
0.000 0.000 9.244
Dy Y Pt
1 1 10
Direct
0.000 0.500 0.500 Dy
0.000 0.000 0.000 Y
0.000 0.000 0.334 Pt
0.000 0.500 0.833 Pt
0.000 0.500 0.167 Pt
0.000 0.000 0.666 Pt
0.500 0.000 0.500 Pt
0.500 0.500 0.000 Pt
0.500 0.250 0.250 Pt
0.500 0.750 0.750 Pt
0.500 0.750 0.250 Pt
0.500 0.250 0.750 Pt
```

Summary:
**Space group**: Pmmm (47)
**Size of the total moment**: 0.00 μB/cell
**Formation energy from the elements**: -0.686 eV per atom

=====

# 17
Compound: TiAl2HIr
Source: Alexandria via LeMat-Bulk
Functional: PBE
Structure: optimized geometry

```
TiAl2HIr
1.0
4.036 0.000 0.000
0.000 4.036 0.000
0.000 0.000 3.747
H Ir Al Ti
1 1 2 1
Direct
0.000 0.000 0.000 H
0.500 0.500 0.500 Ir
0.000 0.500 0.000 Al
0.500 0.000 0.000 Al
0.000 0.000 0.500 Ti
```

Summary:
**Space group**: P4/mmm (123)
**Calculated total energy**: -30.0 eV per cell
**Size of the total moment**: 0.00 μB/cell

=====

# 18
Compound: ReTe4Cl
Source: Alexandria via LeMat-Bulk
Functional: PBE
Structure: optimized geometry

```
ReTe4Cl
1.0
2.585 -5.500 1.473
-3.584 -4.680 2.087
-1.024 -5.003 -3.609
Re Te Cl
1 4 1
Direct
0.000 0.000 0.000 Re
0.877 0.374 0.374 Te
0.374 0.374 0.877 Te
0.374 0.877 0.374 Te
0.374 0.374 0.374 Te
0.750 0.750 0.750 Cl
```

Summary:
**Space group**: F-43m (216)
**ΔE_f (raw)**: 1.088 eV/atom
**Size of the total moment**: 4.31 μB/cell

=====

# 19
Compound: Tl17Cd11Pb
Source: Alexandria via LeMat-Bulk
Functional: PBE
Structure: optimized geometry

```
Tl17Cd11Pb
1.0
-7.547 -2.435 6.702
6.934 -7.699 -0.667
4.598 8.288 3.116
Tl Cd Pb
17 11 1
Direct
0.004 0.004 0.366 Tl
0.685 0.685 0.280 Tl
0.645 0.645 0.638 Tl
0.407 0.407 0.731 Tl
0.999 0.999 0.996 Tl
0.311 0.613 0.001 Tl
0.391 0.718 0.394 Tl
0.005 0.324 0.603 Tl
0.999 0.346 0.001 Tl
0.290 0.688 0.686 Tl
0.607 0.002 0.319 Tl
0.002 0.607 0.319 Tl
0.688 0.290 0.686 Tl
0.346 0.999 0.001 Tl
0.324 0.005 0.603 Tl
0.718 0.391 0.394 Tl
0.613 0.311 0.001 Tl
0.173 0.173 0.798 Cd
0.639 0.814 0.003 Cd
0.177 0.362 0.372 Cd
0.813 0.998 0.634 Cd
0.630 0.991 0.809 Cd
0.822 0.178 0.182 Cd
0.178 0.822 0.182 Cd
0.991 0.630 0.809 Cd
0.998 0.813 0.634 Cd
0.362 0.177 0.372 Cd
0.814 0.639 0.003 Cd
0.369 0.369 0.181 Pb
```

Summary:
**Space group**: Cm (8)
**Size of the total moment**: 0.00 μB/cell
**Formation energy from the elements**: 0.024 eV per atom

=====

# 20
Compound: MgS2N2
Source: Alexandria via LeMat-Bulk
Functional: PBE
Structure: optimized geometry

```
MgS2N2
1.0
4.998 0.000 0.000
0.000 4.998 0.000
0.000 0.000 4.092
S Mg N
2 1 2
Direct
0.000 0.500 0.000 S
0.500 0.000 0.000 S
0.000 0.000 0.000 Mg
0.500 0.500 0.500 N
0.000 0.000 0.500 N
```

Summary:
**Space group**: P4/mmm (123)
**ΔE_f (raw)**: 1.926 eV/atom
**Size of the total moment**: 2.00 μB/cell